This record from the Alexandria database describes an optimized crystal structure of Mn2HgPdRu. The functional is PBE.

Properties
- Calculated density: 7.221 Mg/m³
- ΔE_f: 1.668 eV/atom
- Volume: 23.82 A^3/atom
- Total magnetic moment: 11.1 μB per formula unit
- Symmetry: P4/mmm

Cell lengths 4.901, 4.901, 4.958 Å; angles 90.00, 90.00, 90.00 degrees
Element x y z (fractional)
1 Mn 0.000 0.500 0.000
2 Mn 0.500 0.000 0.000
3 Hg 0.000 0.000 0.000
4 Pd 0.000 0.000 0.500
5 Ru 0.500 0.500 0.500